Record 1
# Tb4TmAg5 | Alexandria | PBE | optimized geometry
# VASP energy ... -4.05 eV per atom
# DFT formation energy ... -0.322 eV per atom
# Size of the total moment ... 0.000 μB per atom
data_Tb4TmAg5
_chemical_formula_sum 'Tb4 Tm1 Ag5'
_symmetry_space_group_name_H-M 'P 1'
_symmetry_Int_Tables_number 1
_symmetry_space_group_name_Hall 'P 1'
_cell_length_a 3.608
_cell_length_b 3.608
_cell_length_c 18.488
_cell_angle_alpha 90.00
_cell_angle_beta 90.00
_cell_angle_gamma 90.00
loop_
_atom_site_label
_atom_site_type_symbol
_atom_site_fract_x
_atom_site_fract_y
_atom_site_fract_z
Tb1 Tb 0.000 0.000 0.198
Tb2 Tb 0.000 0.000 0.399
Tb3 Tb 0.000 0.000 0.601
Tb4 Tb 0.000 0.000 0.802
Tm1 Tm 0.000 0.000 0.000
Ag1 Ag 0.500 0.500 0.096
Ag2 Ag 0.500 0.500 0.299
Ag3 Ag 0.500 0.500 0.500
Ag4 Ag 0.500 0.500 0.701
Ag5 Ag 0.500 0.500 0.904

---

Record 2
# TbTmAg | Alexandria | PBE | optimized geometry
# VASP energy ... -4.16 eV per atom
# DFT formation energy ... -0.177 eV per atom
# Offset from the most stable computed form ... 27 meV per atom
# Size of the total moment ... 0.000 μB per atom
data_TbTmAg
_chemical_formula_sum 'Tb2 Tm2 Ag2'
_symmetry_space_group_name_H-M 'P 1'
_symmetry_Int_Tables_number 1
_symmetry_space_group_name_Hall 'P 1'
_cell_length_a 3.738
_cell_length_b 7.130
_cell_length_c 6.714
_cell_angle_alpha 97.14
_cell_angle_beta 106.17
_cell_angle_gamma 105.18
loop_
_atom_site_label
_atom_site_type_symbol
_atom_site_fract_x
_atom_site_fract_y
_atom_site_fract_z
Tb1 Tb 0.773 0.876 0.671
Tb2 Tb 0.227 0.124 0.329
Tm1 Tm 0.909 0.558 0.259
Tm2 Tm 0.091 0.442 0.741
Ag1 Ag 0.446 0.816 0.076
Ag2 Ag 0.554 0.184 0.924

---

Record 3
# TbTm2Ag | Alexandria | PBE | optimized geometry
# VASP energy ... -4.24 eV per atom
# DFT formation energy ... -0.139 eV per atom
# Offset from the most stable computed form ... 0 meV per atom
# Size of the total moment ... 0.000 μB per atom
data_TbTm2Ag
_chemical_formula_sum 'Tb1 Tm2 Ag1'
_symmetry_space_group_name_H-M 'P 1'
_symmetry_Int_Tables_number 1
_symmetry_space_group_name_Hall 'P 1'
_cell_length_a 3.524
_cell_length_b 3.524
_cell_length_c 8.796
_cell_angle_alpha 90.00
_cell_angle_beta 90.00
_cell_angle_gamma 90.00
loop_
_atom_site_label
_atom_site_type_symbol
_atom_site_fract_x
_atom_site_fract_y
_atom_site_fract_z
Tm1 Tm 0.000 0.000 0.787
Tm2 Tm 0.000 0.000 0.213
Tb1 Tb 0.500 0.500 0.500
Ag1 Ag 0.500 0.500 0.000